The following is a DFT calculation (PBE-GGA) of a geometry-optimized TaRuCl structure.

Cell lengths 9.086, 9.086, 4.565 Å; angles 90.00, 90.00, 160.37 degrees
Fractional coordinates of all 6 atoms:
Ta 0.070 0.930 0.500
Ta 0.930 0.070 0.000
Ru 0.450 0.550 0.452
Ru 0.550 0.450 0.952
Cl 0.332 0.668 0.766
Cl 0.668 0.332 0.266

Calculated values
- energy relative to the lowest polymorph listed for this composition (eV/f.u.) = 0.16
- final energy (eV per cell) = -48.805
- uncorrected formation energy (meV/atom) = -476

***

The following is a DFT calculation (PBE-GGA) of a geometry-optimized Sn4Ir3 structure.

Cell lengths 6.659, 6.659, 5.608 Å; angles 104.94, 104.94, 36.97 degrees
Fractional coordinates of all 7 atoms:
Sn 0.070 0.070 0.315
Sn 0.327 0.327 0.182
Sn 0.673 0.673 0.818
Sn 0.930 0.930 0.685
Ir 0.275 0.275 0.674
Ir 0.500 0.500 0.000
Ir 0.725 0.725 0.326

Calculated values
- E_form (meV per atom) = -196
- final energy (eV per cell) = -43.966

***

The following is a DFT calculation (PBE-GGA) of a geometry-optimized SrLa2YH structure.

Cell lengths 5.374, 5.374, 5.216 Å; angles 90.00, 90.00, 90.00 degrees
Fractional coordinates of all 5 atoms:
Sr 0.000 0.000 0.000
La 0.000 0.500 0.500
La 0.500 0.000 0.500
Y 0.500 0.500 0.000
H 0.500 0.500 0.500

Calculated values
- energy relative to the lowest polymorph listed for this composition (eV/f.u.) = 0.05
- final energy (eV per cell) = -21.632

***

The following is a DFT calculation (PBE-GGA) of a geometry-optimized Ho8Tl3In2 structure.

Cell lengths 9.099, 9.099, 5.472 Å; angles 90.00, 90.00, 120.27 degrees
Fractional coordinates of all 13 atoms:
Ho 0.110 0.890 0.000
Ho 0.169 0.406 0.500
Ho 0.323 0.677 0.000
Ho 0.406 0.169 0.500
Ho 0.594 0.831 0.500
Ho 0.677 0.323 0.000
Ho 0.831 0.594 0.500
Ho 0.890 0.110 0.000
Tl 0.000 0.000 0.500
Tl 0.315 0.315 0.000
Tl 0.685 0.685 0.000
In 0.226 0.774 0.500
In 0.774 0.226 0.500

Calculated values
- E_form (meV per atom) = -115
- final energy (eV per cell) = -50.698

***

The following is a DFT calculation (PBE-GGA) of a geometry-optimized Pm2Pr2ErTm structure.

Cell lengths 7.085, 5.710, 9.898 Å; angles 90.00, 90.00, 90.00 degrees
Fractional coordinates of all 12 atoms:
Pm 0.250 0.000 0.164
Pm 0.250 0.500 0.667
Pm 0.750 0.000 0.836
Pm 0.750 0.500 0.333
Pr 0.000 0.500 0.000
Pr 0.250 0.000 0.822
Pr 0.500 0.500 0.000
Pr 0.750 0.000 0.178
Er 0.250 0.500 0.342
Er 0.750 0.500 0.658
Tm 0.000 0.000 0.500
Tm 0.500 0.000 0.500

Calculated values
- E_form (meV per atom) = 62
- final energy (eV per cell) = -55.449

***

The following is a DFT calculation (PBE-GGA) of a geometry-optimized LiLaP2 structure.

Cell lengths 5.027, 5.027, 5.027 Å; angles 125.26, 125.26, 81.11 degrees
Fractional coordinates of all 4 atoms:
Li 0.000 0.000 0.000
La 0.500 0.500 0.000
P 0.250 0.750 0.500
P 0.750 0.250 0.500

Calculated values
- E_form (meV per atom) = -703
- energy relative to the lowest polymorph listed for this composition (eV/f.u.) = 0.84
- final energy (eV per cell) = -20.474